Entry from Alexandria: a relaxed structure of La2ZrCd (PBE).

Geometry as extended XYZ:
```
16
Lattice="8.6533 0.0000 0.0000 0.0000 8.6533 0.0000 0.0000 0.0000 6.3767" Properties=species:S:1:pos:R:3 pbc="T T T"
La 2.1424 2.1633 0.7971
La 2.1633 6.4691 2.3913
La 2.1633 6.5109 5.5796
La 2.1843 2.1633 3.9854
La 6.4691 6.4900 3.9854
La 6.4900 2.1424 5.5796
La 6.4900 2.1843 2.3913
La 6.5109 6.4900 0.7971
Zr 0.0000 0.0000 3.1883
Zr 0.0000 4.3267 4.7825
Zr 4.3267 0.0000 1.5942
Zr 4.3267 4.3267 0.0000
Cd 0.0000 0.0000 0.0000
Cd 0.0000 4.3267 1.5942
Cd 4.3267 0.0000 4.7825
Cd 4.3267 4.3267 3.1883
```

Results
- total magnetization (Bohr magnetons per cell) = 0.01
- total energy (eV per atom) = -4.53

=====

Entry from Alexandria: a relaxed structure of La2ZrCd (PBE).

Geometry as extended XYZ:
```
8
Lattice="4.9267 0.0000 0.0000 0.0000 4.9338 0.0000 0.0000 0.0000 9.6857" Properties=species:S:1:pos:R:3 pbc="T T T"
La 0.0000 0.0000 2.4105
La 0.0000 0.0000 7.2753
La 2.4633 2.4669 2.4105
La 2.4633 2.4669 7.2753
Zr 0.0000 2.4669 4.8429
Zr 2.4633 0.0000 4.8429
Cd 0.0000 2.4669 0.0000
Cd 2.4633 0.0000 0.0000
```

Results
- total magnetization (Bohr magnetons per cell) = 0.00
- total energy (eV per atom) = -4.87